(1)
First-principles (GGA-PBE) data for an optimized crystal structure of CuOs2Se, as listed in the Alexandria database.

* calculated total energy: -6.6646 eV/atom
* raw formation energy: 0.85 eV per atom
* M_tot: 0.00 μB per atom

Structure (CIF):
```
data_CuOs2Se
_symmetry_space_group_name_H-M 'C m m m'
_symmetry_Int_Tables_number 65
_symmetry_space_group_name_Hall '-C 2 2'
_cell_length_a 2.750
_cell_length_b 4.692
_cell_length_c 9.301
_cell_angle_alpha 90.00
_cell_angle_beta 90.00
_cell_angle_gamma 90.00
loop_
_atom_site_label
_atom_site_type_symbol
_atom_site_fract_x
_atom_site_fract_y
_atom_site_fract_z
_atom_site_occupancy
Cu1 Cu 0.000 0.000 0.000 1
Os1 Os 0.000 0.500 0.237 1
Se1 Se 0.000 0.000 0.500 1
```

---

(2)
First-principles (GGA-PBE) data for an optimized crystal structure of PmDyYEr, as listed in the Alexandria database.

* polymorph energy (0 for the lowest one): 0.0000 eV per atom
* calculated total energy: -5.0735 eV/atom
* M_tot: 0.00 μB per atom

Structure (CIF):
```
data_PmDyYEr
_symmetry_space_group_name_H-M 'I -4 m 2'
_symmetry_Int_Tables_number 119
_symmetry_space_group_name_Hall 'I -4 -2'
_cell_length_a 5.053
_cell_length_b 5.053
_cell_length_c 10.061
_cell_angle_alpha 90.00
_cell_angle_beta 90.00
_cell_angle_gamma 90.00
loop_
_atom_site_label
_atom_site_type_symbol
_atom_site_fract_x
_atom_site_fract_y
_atom_site_fract_z
_atom_site_occupancy
Pm1 Pm 0.000 0.000 0.000 1
Dy1 Dy 0.000 0.500 0.250 1
Y1 Y 0.000 0.500 0.750 1
Er1 Er 0.000 0.000 0.500 1
```

---

| no. | DOS(E_F) (states/eV/atom) |
| --- | --- |
| 1 | 1.001 |
| 2 | 1.459 |